# 1
Computed, not measured: TlIrF2 after structural relaxation at the GGA-PBE level of DFT.

Spin magnetization, μB/f.u.: 0.82
Excess energy over the best structure of this formula in the dataset, eV/f.u.: 0.00
DOS(E_F), states/eV per atom: 0.600

a b c (Å): 2.9664 2.9664 25.1016
angles (deg): 90.00 90.00 120.00
Closest atoms and distances in Å follow each position.
Space group R-3m (No. 166, hexagonal axes)
Unique sites:
Tl 0.0000 0.0000 0.0000 (multiplicity 3)  6 F 2.79, 6 Tl 2.97
Ir 0.0000 0.0000 0.5000 (multiplicity 3)  2 F 1.98
F 0.0000 0.0000 0.4212 (multiplicity 6)  1 Ir 1.98



# 2
Computed, not measured: Tl2IrF5 after structural relaxation at the GGA-PBE level of DFT.

Calculated total energy, eV per atom: -4.312
Spin magnetization, μB/f.u.: 2.02
DOS(E_F), states/eV per atom: 0.908

a b c (Å): 6.0384 6.0384 8.8881
angles (deg): 90.00 90.00 90.00
Closest atoms and distances in Å follow each position.
Space group I4mm (No. 107)
Unique sites:
Tl 0.0000 0.5000 0.0000 (multiplicity 4)  10 F 2.98-3.20
Ir 0.0000 0.0000 0.2309 (multiplicity 2)  5 F 1.97-2.17
F 0.0000 0.0000 0.4754 (multiplicity 2)  1 Ir 2.17
F 0.2307 0.2307 0.2332 (multiplicity 8)  1 Ir 1.97



# 3
Computed, not measured: TlIrF2 after structural relaxation at the GGA-PBE level of DFT.

Spin magnetization, μB/f.u.: 2.71
Excess energy over the best structure of this formula in the dataset, eV/f.u.: 2.20
DOS(E_F), states/eV per atom: 0.503

a b c (Å): 3.0969 3.0969 25.4961
angles (deg): 90.00 90.00 120.00
Closest atoms and distances in Å follow each position.
Space group R-3m (No. 166, hexagonal axes)
Unique sites:
Tl 0.0000 0.0000 0.0000 (multiplicity 3)  2 F 2.63
Ir 0.0000 0.0000 0.5000 (multiplicity 3)  6 F 2.41
F 0.0000 0.0000 0.1031 (multiplicity 6)  3 Ir 2.41, 1 Tl 2.63



# 4
Computed, not measured: Tl2IrF6 after structural relaxation at the GGA-PBE level of DFT.

Calculated total energy, eV per atom: -4.465
Spin magnetization, μB/f.u.: 1.01
DOS(E_F), states/eV per atom: 1.141

a b c (Å): 8.7842 8.7842 8.7842
angles (deg): 90.00 90.00 90.00
Closest atoms and distances in Å follow each position.
Space group Fm-3m (No. 225)
Unique sites:
Tl 0.2500 0.2500 0.2500 (multiplicity 8)  12 F 3.11
Ir 0.0000 0.0000 0.0000 (multiplicity 4)  6 F 1.97
F 0.0000 0.0000 0.2245 (multiplicity 24)  1 Ir 1.97



# 5
Computed, not measured: TlIr3F after structural relaxation at the GGA-PBE level of DFT.

Spin magnetization, μB/f.u.: 0.00
Excess energy over the best structure of this formula in the dataset, eV/f.u.: 0.00
DOS(E_F), states/eV per atom: 1.203

a b c (Å): 4.3642 4.3642 4.3642
angles (deg): 90.00 90.00 90.00
Closest atoms and distances in Å follow each position.
Space group Pm-3m (No. 221)
Unique sites:
Tl 0.0000 0.0000 0.0000 (multiplicity 1)  12 Ir 3.09
Ir 0.0000 0.5000 0.5000 (multiplicity 3)  2 F 2.18
F 0.5000 0.5000 0.5000 (multiplicity 1)  6 Ir 2.18



# 6
Computed, not measured: TlIr3F after structural relaxation at the GGA-PBE level of DFT.

Spin magnetization, μB/f.u.: 4.41
Excess energy over the best structure of this formula in the dataset, eV/f.u.: 5.87
DOS(E_F), states/eV per atom: 1.729

a b c (Å): 5.0804 5.0804 5.0804
angles (deg): 90.00 90.00 90.00
Closest atoms and distances in Å follow each position.
Space group Pm-3m (No. 221)
Unique sites:
Tl 0.0000 0.0000 0.0000 (multiplicity 1)  6 Ir 2.54
Ir 0.0000 0.0000 0.5000 (multiplicity 3)  2 Tl 2.54
F 0.5000 0.5000 0.5000 (multiplicity 1)  12 Ir 3.59